Record 1
The following is a DFT calculation (GGA-PBE) of an optimized crystal structure of CaSeS.

```
data_CaSeS
_cell_length_a 9.829
_cell_length_b 4.680
_cell_length_c 8.141
_cell_angle_alpha 90.00
_cell_angle_beta 97.34
_cell_angle_gamma 90.00
_space_group_name_H-M_alt 'C 1 2/m 1'
_space_group_IT_number 12
_space_group_name_Hall '-C 2y'
loop_
_atom_site_label
_atom_site_fract_x
_atom_site_fract_y
_atom_site_fract_z
Ca1 0.216 0.000 0.217
Se1 0.092 0.000 0.859
S1 0.204 0.000 0.630
```

* total magnetization: 0.00 Bohr magnetons per cell

---

Record 2
The following is a DFT calculation (GGA-PBE) of an optimized crystal structure of LiSiNi2.

```
data_LiSiNi2
_cell_length_a 7.914
_cell_length_b 2.650
_cell_length_c 4.453
_cell_angle_alpha 90.00
_cell_angle_beta 103.79
_cell_angle_gamma 90.00
_space_group_name_H-M_alt 'C 1 2/m 1'
_space_group_IT_number 12
_space_group_name_Hall '-C 2y'
loop_
_atom_site_label
_atom_site_fract_x
_atom_site_fract_y
_atom_site_fract_z
Li1 0.000 0.000 0.000
Si1 0.000 0.500 0.500
Ni1 0.235 0.000 0.737
```

* total magnetization: 0.00 Bohr magnetons per cell

---

Which formation energy from raw total energies belongs to each record? In order, -1136, -274 meV/atom.